1.
Entry from Alexandria: NaEuDyCd after structural relaxation (PBE-GGA).

Computed properties:
**DFT formation energy**: 7 meV per atom
**Total magnetic moment**: 7.31 μB per formula unit
**Volume**: 30.31 Å³ per atom

Geometry as CIF:
```
data_NaEuDyCd
_space_group_name_H-M_alt 'P 1'
_space_group_IT_number 1
_cell_length_a 5.555
_cell_length_b 5.555
_cell_length_c 5.555
_cell_angle_alpha 60.00
_cell_angle_beta 60.00
_cell_angle_gamma 60.00
loop_
_space_group_symop_operation_xyz
'x,y,z'
loop_
_atom_site_label
_atom_site_type_symbol
_atom_site_fract_x
_atom_site_fract_y
_atom_site_fract_z
Na1 Na 0.000 0.000 0.000
Eu1 Eu 0.750 0.750 0.750
Dy1 Dy 0.250 0.250 0.250
Cd1 Cd 0.500 0.500 0.500
```

=====

2.
Entry from Alexandria: CuTe2Br after structural relaxation (PBE-GGA).

Computed properties:
**Raw formation energy**: 145.6 kJ/mol of formula units
**Total magnetic moment**: 0.00 μB per formula unit
**Volume**: 26.01 Å³ per atom

Geometry as CIF:
```
data_CuTe2Br
_space_group_name_H-M_alt 'P 1'
_space_group_IT_number 1
_cell_length_a 3.386
_cell_length_b 4.761
_cell_length_c 6.453
_cell_angle_alpha 90.00
_cell_angle_beta 90.00
_cell_angle_gamma 90.00
loop_
_space_group_symop_operation_xyz
'x,y,z'
loop_
_atom_site_label
_atom_site_type_symbol
_atom_site_fract_x
_atom_site_fract_y
_atom_site_fract_z
Cu1 Cu 0.000 0.000 0.000
Te1 Te 0.000 0.500 0.500
Te2 Te 0.500 0.500 0.000
Br1 Br 0.500 0.000 0.500
```

=====

3.
Entry from Alexandria: AcLaPd4 after structural relaxation (PBE-GGA).

Computed properties:
**DFT formation energy**: -784 meV per atom
**Total magnetic moment**: 0.00 μB per formula unit
**Volume**: 21.02 Å³ per atom
**Excess energy over the best structure of this formula in the dataset**: 11 meV per atom

Geometry as CIF:
```
data_AcLaPd4
_space_group_name_H-M_alt 'P 1'
_space_group_IT_number 1
_cell_length_a 5.629
_cell_length_b 5.629
_cell_length_c 5.629
_cell_angle_alpha 60.00
_cell_angle_beta 60.00
_cell_angle_gamma 60.00
loop_
_space_group_symop_operation_xyz
'x,y,z'
loop_
_atom_site_label
_atom_site_type_symbol
_atom_site_fract_x
_atom_site_fract_y
_atom_site_fract_z
Ac1 Ac 0.000 0.000 0.000
La1 La 0.250 0.250 0.250
Pd1 Pd 0.125 0.625 0.625
Pd2 Pd 0.625 0.125 0.625
Pd3 Pd 0.625 0.625 0.125
Pd4 Pd 0.625 0.625 0.625
```

=====

4.
Entry from Alexandria: NdZn5Pd2Au after structural relaxation (PBE-GGA).

Computed properties:
**DFT formation energy**: -233 meV per atom
**Total magnetic moment**: 0.00 μB per formula unit
**Volume**: 19.30 Å³ per atom

Geometry as CIF:
```
data_NdZn5Pd2Au
_space_group_name_H-M_alt 'P 1'
_space_group_IT_number 1
_cell_length_a 4.850
_cell_length_b 4.850
_cell_length_c 7.387
_cell_angle_alpha 90.00
_cell_angle_beta 90.00
_cell_angle_gamma 90.00
loop_
_space_group_symop_operation_xyz
'x,y,z'
loop_
_atom_site_label
_atom_site_type_symbol
_atom_site_fract_x
_atom_site_fract_y
_atom_site_fract_z
Nd1 Nd 0.000 0.000 0.000
Zn1 Zn 0.000 0.500 0.302
Zn2 Zn 0.000 0.500 0.698
Zn3 Zn 0.500 0.000 0.302
Zn4 Zn 0.500 0.000 0.698
Zn5 Zn 0.500 0.500 0.000
Pd1 Pd 0.500 0.500 0.320
Pd2 Pd 0.500 0.500 0.680
Au1 Au 0.000 0.000 0.500
```

=====

5.
Entry from Alexandria: AgMoRh4 after structural relaxation (PBE-GGA).

Computed properties:
**DFT formation energy**: 247 meV per atom
**Total magnetic moment**: 0.00 μB per formula unit
**Volume**: 15.57 Å³ per atom

Geometry as CIF:
```
data_AgMoRh4
_space_group_name_H-M_alt 'P 1'
_space_group_IT_number 1
_cell_length_a 5.093
_cell_length_b 5.093
_cell_length_c 5.093
_cell_angle_alpha 60.00
_cell_angle_beta 60.00
_cell_angle_gamma 60.00
loop_
_space_group_symop_operation_xyz
'x,y,z'
loop_
_atom_site_label
_atom_site_type_symbol
_atom_site_fract_x
_atom_site_fract_y
_atom_site_fract_z
Ag1 Ag 0.000 0.000 0.000
Mo1 Mo 0.750 0.750 0.750
Rh1 Rh 0.375 0.375 0.375
Rh2 Rh 0.375 0.375 0.876
Rh3 Rh 0.375 0.876 0.375
Rh4 Rh 0.876 0.375 0.375
```

=====

6.
Entry from Alexandria: Y3SnP after structural relaxation (PBE-GGA).

Computed properties:
**DFT formation energy**: -815 meV per atom
**Total magnetic moment**: 0.00 μB per formula unit
**Volume**: 28.57 Å³ per atom
**Excess energy over the best structure of this formula in the dataset**: 0 meV per atom

Geometry as CIF:
```
data_Y3SnP
_space_group_name_H-M_alt 'P 1'
_space_group_IT_number 1
_cell_length_a 5.227
_cell_length_b 5.227
_cell_length_c 5.227
_cell_angle_alpha 90.00
_cell_angle_beta 90.00
_cell_angle_gamma 90.00
loop_
_space_group_symop_operation_xyz
'x,y,z'
loop_
_atom_site_label
_atom_site_type_symbol
_atom_site_fract_x
_atom_site_fract_y
_atom_site_fract_z
Y1 Y 0.000 0.000 0.500
Y2 Y 0.000 0.500 0.000
Y3 Y 0.500 0.000 0.000
Sn1 Sn 0.500 0.500 0.500
P1 P 0.000 0.000 0.000
```

=====

7.
Entry from Alexandria: Sm2YAl2Zn2 after structural relaxation (PBE-GGA).

Computed properties:
**DFT formation energy**: -322 meV per atom
**Total magnetic moment**: 0.00 μB per formula unit
**Volume**: 23.44 Å³ per atom

Geometry as CIF:
```
data_Sm2YAl2Zn2
_space_group_name_H-M_alt 'P 1'
_space_group_IT_number 1
_cell_length_a 9.645
_cell_length_b 9.645
_cell_length_c 9.645
_cell_angle_alpha 27.08
_cell_angle_beta 27.08
_cell_angle_gamma 27.08
loop_
_space_group_symop_operation_xyz
'x,y,z'
loop_
_atom_site_label
_atom_site_type_symbol
_atom_site_fract_x
_atom_site_fract_y
_atom_site_fract_z
Sm1 Sm 0.127 0.127 0.127
Sm2 Sm 0.873 0.873 0.873
Y1 Y 0.000 0.000 0.000
Al1 Al 0.267 0.267 0.267
Al2 Al 0.733 0.733 0.733
Zn1 Zn 0.396 0.396 0.396
Zn2 Zn 0.604 0.604 0.604
```

=====

8.
Entry from Alexandria: Pr5SmTm after structural relaxation (PBE-GGA).

Computed properties:
**DFT formation energy**: 946 meV per atom
**Total magnetic moment**: 0.00 μB per formula unit
**Volume**: 46.06 Å³ per atom

Geometry as CIF:
```
data_Pr5SmTm
_space_group_name_H-M_alt 'P 1'
_space_group_IT_number 1
_cell_length_a 8.114
_cell_length_b 8.114
_cell_length_c 5.956
_cell_angle_alpha 111.47
_cell_angle_beta 111.47
_cell_angle_gamma 66.06
loop_
_space_group_symop_operation_xyz
'x,y,z'
loop_
_atom_site_label
_atom_site_type_symbol
_atom_site_fract_x
_atom_site_fract_y
_atom_site_fract_z
Pr1 Pr 0.000 0.000 0.000
Pr2 Pr 0.249 0.249 0.749
Pr3 Pr 0.324 0.676 0.500
Pr4 Pr 0.676 0.324 0.500
Pr5 Pr 0.751 0.751 0.251
Sm1 Sm 0.000 0.000 0.500
Tm1 Tm 0.500 0.500 0.000
```